First-principles (GGA-PBE) data for a geometry-optimized TlInAgI3 structure, as listed in Alexandria.

The structure in CIF format:
```
data_TlInAgI3
_chemical_formula_sum 'Tl2 In2 Ag2 I6'
_cell_length_a 9.775
_cell_length_b 4.761
_cell_length_c 10.996
_cell_angle_alpha 90.00
_cell_angle_beta 102.14
_cell_angle_gamma 90.00
_space_group_name_H-M_alt 'P 1 21/m 1'
_space_group_IT_number 11
loop_
_space_group_symop_operation_xyz
'x,y,z'
'-x,-y,-z'
'-x,y+1/2,-z'
'x,-y+1/2,z'
loop_
_atom_site_label
_atom_site_type_symbol
_atom_site_fract_x
_atom_site_fract_y
_atom_site_fract_z
_atom_site_occupancy
Tl1 Tl 0.190 0.250 0.168 1
In1 In 0.465 0.750 0.893 1
Ag1 Ag 0.161 0.250 0.544 1
I1 I 0.109 0.750 0.386 1
I2 I 0.164 0.750 0.935 1
I3 I 0.431 0.250 0.693 1
```

- energy relative to the elements, uncorrected (eV/atom) = -0.4153
- raw total energy (hartree per atom) = -0.0925